The following is a DFT calculation (PBE with a Hubbard U) of a relaxed structure of ZrVIF2.

POSCAR file:
```
ZrVIF2
1.0
4.275 0.000 0.000
0.000 4.275 0.000
0.000 0.000 6.432
Zr V I F
1 1 1 2
direct
0.000 0.000 0.000 Zr
0.500 0.500 0.500 V
0.000 0.000 0.500 I
0.000 0.500 0.000 F
0.500 0.000 0.000 F
```

Energy in eV per formula unit: -27.4
Space-group type: P4/mmm (123)
Crystal system: tetragonal